Record 1
SrCdSi2Pd5 after structural relaxation, computed with GGA-PBE.

abc: 4.7036 4.7036 7.3636
angles: 90.00 90.00 90.00
Closest atoms and distances in Å follow each position.
Positions (direct):
Si1 0.5000 0.5000 0.1582  1 Si 2.33, 5 Pd 2.41-2.52
Pd1 0.5000 0.5000 0.5000  2 Si 2.52
Pd2 0.0000 0.5000 0.2273  2 Si 2.41
Sr1 0.0000 0.0000 0.5000  12 Pd 3.09-3.33
Pd3 0.0000 0.5000 0.7727  2 Si 2.41
Pd4 0.5000 0.0000 0.2273  2 Si 2.41
Pd5 0.5000 0.0000 0.7727  2 Si 2.41
Si2 0.5000 0.5000 0.8418  1 Si 2.33, 5 Pd 2.41-2.52
Cd1 0.0000 0.0000 0.0000  8 Pd 2.89

Results
* symmetry: P4/mmm (123)
* calculated density: 8.04 g/cm3
* total magnetization: 0.00 μB per formula unit
* raw formation energy: -0.503 eV per atom


Record 2
Mo2IrRh after structural relaxation, computed with GGA-PBE.

abc: 3.9275 2.7566 6.1739
angles: 63.48 90.00 90.00
Closest atoms and distances in Å follow each position.
Positions (direct):
Mo1 0.0000 0.4983 0.5019  4 Mo 2.74-2.78, 4 Ir 2.76, 4 Rh 2.77
Ir1 0.5000 0.7500 0.7500  2 Ir 2.76, 2 Rh 2.76, 8 Mo 2.76
Rh1 0.5000 0.2500 0.2500  2 Rh 2.76, 2 Ir 2.76, 8 Mo 2.77
Mo2 0.0000 0.0017 0.9981  4 Mo 2.74-2.78, 4 Ir 2.76, 4 Rh 2.77

Results
* symmetry: Pmmm (47)
* calculated density: 13.52 g/cm3
* DFT total energy: -38.86 eV/f.u.
* total magnetization: 0.00 μB per formula unit


Record 3
Ac2Ta2N7 after structural relaxation, computed with GGA-PBE.

abc: 5.7481 5.1684 5.7481
angles: 90.54 78.62 89.46
Closest atoms and distances in Å follow each position.
Positions (direct):
Ta1 0.2816 0.0136 0.7184  5 N 1.96-2.16
N1 0.5131 0.1181 0.9500  1 N 1.35
Ac1 0.7376 0.5000 0.7376  4 N 2.48-2.55
N2 0.4774 0.7491 0.5226  2 Ta 1.96-2.16
N3 0.4869 0.8819 0.0500  1 N 1.35
N4 0.0500 0.1181 0.4869  1 N 1.35
N5 0.9500 0.8819 0.5131  1 N 1.35
N6 0.5226 0.2509 0.4774  2 Ta 1.96-2.16
Ac2 0.2624 0.5000 0.2624  4 N 2.48-2.55
Ta2 0.7184 0.9864 0.2816  5 N 1.96-2.16
N7 0.0000 0.0000 0.0000  2 Ta 2.05

Results
* symmetry: C2/m (12)
* calculated density: 9.07 g/cm3
* total magnetization: 0.00 μB per formula unit
* raw formation energy: -0.592 eV per atom


Record 4
CsNiS2Cl after structural relaxation, computed with GGA-PBE.

abc: 5.4869 5.4869 6.2137
angles: 90.00 90.00 90.00
Closest atoms and distances in Å follow each position.
Positions (direct):
Cs1 0.0000 0.0000 0.0000  4 S 2.74
S1 0.5000 0.0000 0.0000  2 Cs 2.74
S2 0.0000 0.5000 0.0000  2 Cs 2.74
Ni1 0.5000 0.5000 0.5000  4 Cl 3.88, 8 S 4.14
Cl1 0.0000 0.0000 0.5000  2 Cs 3.11

Results
* symmetry: P4/mmm (123)
* calculated density: 2.58 g/cm3
* total magnetization: 2.02 μB per formula unit
* raw formation energy: 1.298 eV per atom


Record 5
Hg3Br2 after structural relaxation, computed with GGA-PBE.

abc: 8.9597 7.8274 7.2010
angles: 73.06 56.69 50.25
Closest atoms and distances in Å follow each position.
Positions (direct):
Br1 0.4592 0.8440 0.7649  1 Hg 2.72
Hg1 0.9425 0.8928 0.4457  1 Br 2.72, 1 Hg 2.73
Br2 0.4060 0.7908 0.3181  1 Hg 2.72
Br3 0.4851 0.3181 0.7908  1 Hg 2.72
Hg2 0.8043 0.5310 0.3075  1 Br 2.72, 1 Hg 2.73
Hg3 0.3572 0.3075 0.5310  1 Br 2.72, 1 Hg 2.73
Hg4 0.9474 0.0526 0.0526  2 Hg 2.73
Br4 0.9319 0.7649 0.8440  1 Hg 2.72
Hg5 0.1974 0.3026 0.3026  2 Hg 2.73
Hg6 0.7190 0.4457 0.8928  1 Br 2.72, 1 Hg 2.73

Results
* symmetry: Fdd2 (43)
* calculated density: 7.83 g/cm3
* total magnetization: 0.00 μB per formula unit
* raw formation energy: -0.234 eV per atom


Record 6
Zn4Cu7Au3 after structural relaxation, computed with GGA-PBE.

abc: 4.1229 6.4229 8.2265
angles: 84.63 75.49 71.28
Closest atoms and distances in Å follow each position.
Positions (direct):
Cu1 0.6610 0.1690 0.5091  5 Zn 2.59-2.90, 5 Au 2.73-2.88
Zn1 0.6364 0.4617 0.2655  5 Cu 2.50-2.68, 4 Au 2.75-2.79
Au1 0.0000 0.5000 0.5000  6 Zn 2.70-2.79, 2 Au 2.83, 4 Cu 2.88
Cu2 0.5570 0.8010 0.0849  6 Cu 2.48-2.76, 3 Zn 2.50-2.67, 2 Au 2.62-2.73
Cu3 0.4430 0.1990 0.9151  6 Cu 2.48-2.76, 3 Zn 2.50-2.67, 2 Au 2.62-2.73
Cu4 0.1838 0.5617 0.0707  6 Cu 2.47-2.72, 4 Zn 2.53-2.68
Cu5 0.3390 0.8310 0.4909  5 Zn 2.59-2.90, 5 Au 2.73-2.88
Zn2 0.3636 0.5383 0.7345  5 Cu 2.50-2.68, 4 Au 2.75-2.79
Au2 0.2895 0.1634 0.2577  6 Cu 2.62-2.87, 4 Zn 2.75-2.80, 1 Au 2.83
Cu6 0.8162 0.4383 0.9293  6 Cu 2.47-2.72, 4 Zn 2.53-2.68
Cu7 0.0000 0.0000 0.0000  6 Cu 2.48-2.72, 2 Zn 2.48
Au3 0.7105 0.8366 0.7423  6 Cu 2.62-2.87, 4 Zn 2.75-2.80, 1 Au 2.83
Zn3 0.9258 0.8551 0.2933  7 Cu 2.48-2.67, 1 Au 2.70
Zn4 0.0742 0.1449 0.7067  7 Cu 2.48-2.67, 1 Au 2.70

Results
* symmetry: C2/m (12)
* calculated density: 10.79 g/cm3
* DFT total energy: -44.44 eV/f.u.
* total magnetization: 0.00 μB per formula unit